PBE-GGA LiHo2PuS5, optimized geometry; uncorrected formation energy = -1.717 eV/atom
1.0
3.894 0.000 0.000
-1.947 8.082 0.000
0.000 0.000 11.728
Li Ho Pu S
2 4 2 10
direct
0.516 0.032 0.980
0.484 0.968 0.480
0.877 0.754 0.795
0.108 0.217 0.684
0.123 0.246 0.295
0.892 0.783 0.184
0.802 0.603 0.502
0.198 0.397 0.002
0.366 0.733 0.002
0.691 0.383 0.839
0.500 0.000 0.783
0.289 0.578 0.665
0.955 0.909 0.576
0.634 0.267 0.502
0.309 0.617 0.339
0.500 0.000 0.283
0.711 0.422 0.165
0.045 0.091 0.076

***

PBE-GGA Li2Ho2PuS6, optimized geometry; uncorrected formation energy = -1.689 eV/atom
1.0
-2.902 -5.555 -2.655
0.760 0.554 6.741
-4.832 4.291 -0.906
Li Ho Pu S
2 2 1 6
direct
0.834 0.166 0.000
0.166 0.834 0.000
0.335 0.665 0.500
0.665 0.335 0.500
0.000 0.000 0.500
0.756 0.756 0.743
0.071 0.406 0.743
0.244 0.244 0.257
0.406 0.071 0.743
0.929 0.594 0.257
0.594 0.929 0.257

***

PBE-GGA Li3Ho3PuS8, optimized geometry; uncorrected formation energy = -1.735 eV/atom
1.0
-3.529 6.202 -3.255
-1.490 -7.216 -2.684
-2.470 2.211 6.891
Li Ho Pu S
3 3 1 8
direct
0.000 0.000 0.000
0.000 0.500 0.000
0.500 0.500 0.000
0.500 0.000 0.500
0.500 0.500 0.500
0.000 0.500 0.500
0.000 0.000 0.500
0.250 0.501 0.251
0.750 0.499 0.749
0.755 0.511 0.257
0.245 0.489 0.743
0.755 0.001 0.257
0.245 0.999 0.743
0.246 0.001 0.257
0.754 0.999 0.743

***

PBE-GGA Li3Ho2PuS6, optimized geometry; uncorrected formation energy = -1.731 eV/atom
1.0
-3.125 -4.882 3.553
6.791 0.257 -0.176
-1.229 5.162 3.846
Li Ho Pu S
3 2 1 6
direct
0.168 0.832 0.500
0.832 0.168 0.500
0.500 0.500 0.500
0.333 0.667 0.000
0.667 0.333 0.000
0.000 0.000 0.000
0.917 0.579 0.749
0.746 0.746 0.251
0.083 0.421 0.251
0.579 0.917 0.749
0.254 0.254 0.749
0.421 0.083 0.251

***

PBE-GGA LiHoPuS3, optimized geometry; uncorrected formation energy = -1.709 eV/atom
1.0
3.849 0.000 0.000
0.000 8.040 0.159
0.000 -1.959 8.145
Li Ho Pu S
2 2 2 6
direct
0.250 0.087 0.580
0.750 0.913 0.420
0.250 0.664 0.169
0.750 0.336 0.831
0.250 0.176 0.215
0.750 0.824 0.785
0.750 0.898 0.136
0.250 0.102 0.864
0.250 0.783 0.504
0.750 0.217 0.496
0.750 0.424 0.167
0.250 0.576 0.833

***

PBE-GGA LiHo3Pu2S6, optimized geometry; uncorrected formation energy = -1.860 eV/atom
1.0
-1.922 -3.937 5.145
1.617 -2.765 -5.950
6.187 1.734 2.157
Li Ho Pu S
1 3 2 6
direct
0.000 0.000 0.000
0.167 0.833 0.500
0.833 0.167 0.500
0.500 0.500 0.500
0.333 0.667 0.000
0.667 0.333 0.000
0.916 0.588 0.747
0.757 0.757 0.252
0.084 0.412 0.253
0.588 0.916 0.747
0.243 0.243 0.748
0.412 0.084 0.253

***

PBE-GGA Li2HoPuS4, optimized geometry; uncorrected formation energy = -1.685 eV/atom
1.0
-1.525 -2.881 2.206
6.109 -2.995 0.312
-0.751 4.205 4.974
Li Ho Pu S
2 1 1 4
direct
0.500 0.000 0.500
0.000 0.500 0.500
0.000 0.000 0.000
0.500 0.500 0.000
0.500 0.247 0.252
0.500 0.753 0.748
0.000 0.247 0.750
0.000 0.753 0.250

***

PBE-GGA LiHo2Pu3Se6, optimized geometry; uncorrected formation energy = -1.582 eV/atom
1.0
-2.809 -2.954 -0.401
5.956 -5.552 -0.817
0.007 1.610 9.017
Li Ho Pu Se
1 2 3 6
direct
0.500 0.000 0.000
0.834 0.666 0.669
0.166 0.334 0.331
0.500 0.500 0.000
0.834 0.164 0.667
0.166 0.836 0.333
0.336 0.912 0.673
0.669 0.582 0.337
0.664 0.088 0.327
0.002 0.242 0.005
0.998 0.758 0.995
0.331 0.418 0.663